(1)
Computed, not measured: an optimized crystal structure of Ba2Si3GeAu4 at the PBE level of DFT.

```
data_Ba2Si3GeAu4
_symmetry_space_group_name_H-M 'P 1'
_symmetry_Int_Tables_number 1
_symmetry_space_group_name_Hall 'P 1'
_cell_length_a 4.619
_cell_length_b 4.619
_cell_length_c 10.434
_cell_angle_alpha 90.00
_cell_angle_beta 90.00
_cell_angle_gamma 90.00
loop_
_atom_site_label
_atom_site_fract_x
_atom_site_fract_y
_atom_site_fract_z
Ge1 0.500 0.500 0.500
Si1 0.000 0.000 0.500
Si2 0.000 0.500 0.122
Si3 0.500 0.000 0.878
Ba1 0.500 0.000 0.250
Ba2 0.000 0.500 0.750
Au1 0.000 0.500 0.372
Au2 0.000 0.000 0.000
Au3 0.500 0.000 0.628
Au4 0.500 0.500 0.000
```

Output
DOS(E_F)	4.70	states/eV per cell
crystal system	tetragonal
DFT total energy	-4.23	eV/atom
formation energy from raw total energies	-0.44	eV/atom

***

(2)
Computed, not measured: an optimized crystal structure of CoCuW2 at the PBE level of DFT.

```
data_CoCuW2
_symmetry_space_group_name_H-M 'P 1'
_symmetry_Int_Tables_number 1
_symmetry_space_group_name_Hall 'P 1'
_cell_length_a 4.254
_cell_length_b 2.657
_cell_length_c 4.861
_cell_angle_alpha 82.86
_cell_angle_beta 90.00
_cell_angle_gamma 90.00
loop_
_atom_site_label
_atom_site_fract_x
_atom_site_fract_y
_atom_site_fract_z
W1 0.000 0.026 0.967
W2 0.500 0.233 0.286
Cu1 0.500 0.613 0.762
Co1 0.000 0.628 0.485
```

Output
DOS(E_F)	3.15	states/eV per cell
crystal system	monoclinic
DFT total energy	-9.09	eV/atom
energy of formation from the pure elements	0.189	eV/atom
distance to the lowest polymorph of the same formula	0	meV per atom

***

(3)
Computed, not measured: an optimized crystal structure of NdDy2F at the PBE level of DFT.

```
data_NdDy2F
_symmetry_space_group_name_H-M 'P 1'
_symmetry_Int_Tables_number 1
_symmetry_space_group_name_Hall 'P 1'
_cell_length_a 3.629
_cell_length_b 3.629
_cell_length_c 9.636
_cell_angle_alpha 79.14
_cell_angle_beta 79.14
_cell_angle_gamma 60.00
loop_
_atom_site_label
_atom_site_fract_x
_atom_site_fract_y
_atom_site_fract_z
F1 0.500 0.500 0.500
Dy1 0.119 0.119 0.643
Dy2 0.881 0.881 0.357
Nd1 0.000 0.000 0.000
```

Output
DOS(E_F)	5.58	states/eV per cell
crystal system	trigonal
DFT total energy	-4.85	eV/atom
formation energy from raw total energies	-0.89	eV/atom

***

(4)
Computed, not measured: an optimized crystal structure of Pm2Sm3Tm5 at the PBE level of DFT.

```
data_Pm2Sm3Tm5
_symmetry_space_group_name_H-M 'P 1'
_symmetry_Int_Tables_number 1
_symmetry_space_group_name_Hall 'P 1'
_cell_length_a 9.387
_cell_length_b 9.369
_cell_length_c 11.097
_cell_angle_alpha 125.07
_cell_angle_beta 125.11
_cell_angle_gamma 68.88
loop_
_atom_site_label
_atom_site_fract_x
_atom_site_fract_y
_atom_site_fract_z
Tm1 0.026 0.776 0.552
Tm2 0.974 0.224 0.448
Tm3 0.356 0.110 0.733
Tm4 0.476 0.726 0.453
Tm5 0.269 0.519 0.039
Tm6 0.123 0.377 0.267
Tm7 0.644 0.890 0.267
Tm8 0.731 0.481 0.961
Tm9 0.524 0.274 0.547
Tm10 0.877 0.623 0.733
Sm1 0.723 0.484 0.256
Sm2 0.229 0.979 0.959
Sm3 0.033 0.772 0.256
Sm4 0.967 0.228 0.744
Sm5 0.771 0.021 0.041
Sm6 0.277 0.516 0.744
Pm1 0.479 0.719 0.746
Pm2 0.767 0.027 0.746
Pm3 0.233 0.973 0.254
Pm4 0.521 0.281 0.254
```

Output
DOS(E_F)	33.14	states/eV per cell
crystal system	monoclinic
DFT total energy	-4.41	eV/atom
energy of formation from the pure elements	0.187	eV/atom
distance to the lowest polymorph of the same formula	0	meV per atom

***

(5)
Computed, not measured: an optimized crystal structure of CePuO4 at the PBE level of DFT.

```
data_CePuO4
_symmetry_space_group_name_H-M 'P 1'
_symmetry_Int_Tables_number 1
_symmetry_space_group_name_Hall 'P 1'
_cell_length_a 3.834
_cell_length_b 3.834
_cell_length_c 5.432
_cell_angle_alpha 90.00
_cell_angle_beta 90.00
_cell_angle_gamma 90.00
loop_
_atom_site_label
_atom_site_fract_x
_atom_site_fract_y
_atom_site_fract_z
O1 0.500 0.000 0.256
O2 0.000 0.500 0.744
O3 0.500 0.000 0.744
O4 0.000 0.500 0.256
Pu1 0.500 0.500 0.500
Ce1 0.000 0.000 0.000
```

Output
DOS(E_F)	7.13	states/eV per cell
crystal system	tetragonal
DFT total energy	-9.96	eV/atom
formation energy from raw total energies	-3.27	eV/atom

***

(6)
Computed, not measured: an optimized crystal structure of BaIn2F at the PBE level of DFT.

```
data_BaIn2F
_symmetry_space_group_name_H-M 'P 1'
_symmetry_Int_Tables_number 1
_symmetry_space_group_name_Hall 'P 1'
_cell_length_a 5.529
_cell_length_b 5.529
_cell_length_c 5.529
_cell_angle_alpha 60.00
_cell_angle_beta 60.00
_cell_angle_gamma 60.00
loop_
_atom_site_label
_atom_site_fract_x
_atom_site_fract_y
_atom_site_fract_z
In1 0.750 0.750 0.750
In2 0.250 0.250 0.250
Ba1 0.500 0.500 0.500
F1 0.000 0.000 0.000
```

Output
DOS(E_F)	4.26	states/eV per cell
crystal system	cubic
DFT total energy	-2.85	eV/atom
distance to the lowest polymorph of the same formula	769	meV per atom
formation energy from raw total energies	-0.53	eV/atom

***

(7)
Computed, not measured: an optimized crystal structure of CeDy2Y6 at the PBE level of DFT.

```
data_CeDy2Y6
_symmetry_space_group_name_H-M 'P 1'
_symmetry_Int_Tables_number 1
_symmetry_space_group_name_Hall 'P 1'
_cell_length_a 5.063
_cell_length_b 10.676
_cell_length_c 10.676
_cell_angle_alpha 90.00
_cell_angle_beta 90.00
_cell_angle_gamma 90.00
loop_
_atom_site_label
_atom_site_fract_x
_atom_site_fract_y
_atom_site_fract_z
Y1 0.000 0.335 0.165
Y2 0.500 0.835 0.335
Y3 0.500 0.165 0.665
Y4 0.500 0.832 0.000
Y5 0.000 0.000 0.832
Y6 0.500 0.500 0.332
Y7 0.000 0.668 0.500
Y8 0.000 0.665 0.835
Y9 0.000 0.332 0.500
Y10 0.500 0.500 0.668
Y11 0.000 0.000 0.168
Y12 0.500 0.168 0.000
Dy1 0.500 0.165 0.335
Dy2 0.500 0.835 0.665
Dy3 0.000 0.335 0.835
Dy4 0.000 0.665 0.165
Ce1 0.000 0.000 0.500
Ce2 0.500 0.500 0.000
```

Output
DOS(E_F)	29.78	states/eV per cell
crystal system	tetragonal
DFT total energy	-5.95	eV/atom
energy of formation from the pure elements	0.046	eV/atom
distance to the lowest polymorph of the same formula	0	meV per atom

***

(8)
Computed, not measured: an optimized crystal structure of BaCeZnAu at the PBE level of DFT.

```
data_BaCeZnAu
_symmetry_space_group_name_H-M 'P 1'
_symmetry_Int_Tables_number 1
_symmetry_space_group_name_Hall 'P 1'
_cell_length_a 5.463
_cell_length_b 5.463
_cell_length_c 5.463
_cell_angle_alpha 60.00
_cell_angle_beta 60.00
_cell_angle_gamma 60.00
loop_
_atom_site_label
_atom_site_fract_x
_atom_site_fract_y
_atom_site_fract_z
Au1 0.500 0.500 0.500
Ba1 0.750 0.750 0.750
Zn1 0.000 0.000 0.000
Ce1 0.250 0.250 0.250
```

Output
DOS(E_F)	10.27	states/eV per cell
crystal system	cubic
DFT total energy	-3.36	eV/atom
energy of formation from the pure elements	-0.254	eV/atom

***

The records above yield magnetic moment values of 0.00 0.00 0.00 0.00 4.00 0.00 2.32 1.07 Bohr magnetons per cell, respectively.